# MgNbSb2

A geometry-optimized MgNbSb2 structure (PBE-GGA, Alexandria via LeMat-Bulk).

Geometry as POSCAR:
```
MgNbSb2
1.0
-1.133 -4.208 -4.896
4.574 -4.032 2.406
-2.659 -7.003 2.247
Sb Mg Nb
4 2 2
Direct
0.646 0.125 0.250
0.104 0.625 0.250
0.375 0.354 0.750
0.875 0.896 0.750
0.250 0.750 0.500
0.500 0.500 0.000
0.000 0.000 0.000
0.750 0.250 0.500
```

- space-group type = No. 122
- formation energy from raw total energies (eV per atom) = 0.27
- crystal system = tetragonal


# La6Pr2Ho3

A geometry-optimized La6Pr2Ho3 structure (PBE-GGA, Alexandria via LeMat-Bulk).

Geometry as POSCAR:
```
La6Pr2Ho3
1.0
-2.512 -4.383 -3.820
-2.770 1.096 9.252
-13.807 -2.174 2.820
La Ho Pr
6 3 2
Direct
0.092 0.637 0.727
0.270 0.905 0.183
0.730 0.095 0.817
0.813 0.721 0.546
0.187 0.279 0.454
0.908 0.363 0.273
0.000 0.000 0.000
0.452 0.181 0.638
0.548 0.819 0.362
0.640 0.460 0.090
0.360 0.540 0.910
```

- space-group type = No. 2
- formation energy (eV/atom) = 0.023
- crystal system = triclinic


| no. | final energy (eV/atom) |
| --- | --- |
| 1 | -4.71 |
| 2 | -4.78 |